Material: Pr2Ga3Pd5
Method: DFT, PBE
State: optimized geometry

POSCAR file:
```
Pr2Ga3Pd5
1.0
-2.359 1.975 -2.970
1.574 -4.944 -4.537
-9.056 -7.644 5.186
Pr Ga Pd
4 6 10
Direct
0.475 0.731 0.949 Pr
0.175 0.761 0.350 Pr
0.825 0.261 0.650 Pr
0.525 0.231 0.051 Pr
0.782 0.813 0.563 Ga
0.629 0.443 0.258 Ga
0.047 0.917 0.093 Ga
0.218 0.313 0.437 Ga
0.953 0.417 0.907 Ga
0.371 0.943 0.742 Ga
0.402 0.365 0.804 Pd
0.304 0.594 0.607 Pd
0.696 0.094 0.393 Pd
0.120 0.188 0.240 Pd
0.272 0.009 0.544 Pd
0.940 0.044 0.881 Pd
0.728 0.509 0.456 Pd
0.880 0.688 0.760 Pd
0.060 0.544 0.119 Pd
0.598 0.865 0.196 Pd
```

Results
As for the space group: Cmc2_1, No. 36. Its magnetization is 0.0 μB/cell. The formation energy is -7.6 eV per formula unit. As for the polymorph energy (0 for the lowest one): 19 kJ/mol of formula units.